No. 1
# LiNbAg

LiNbAg after structural relaxation (PBE-GGA, the Open Quantum Materials Database).

Cell: 4.385 4.385 4.385 Å, 60.00 60.00 60.00°
Atoms (fractional coordinates):
1 Li 0.000 0.000 0.000
2 Nb 0.250 0.250 0.250
3 Ag 0.500 0.500 0.500

**Energy above the lowest structure with this stoichiometry**: 269.2 meV per atom
**Magnetic moment**: 0.0 μB per cell


No. 2
# Ta8Co7

Ta8Co7 after structural relaxation (PBE-GGA, the Open Quantum Materials Database).

Cell: 9.406 9.406 5.084 Å, 90.00 90.00 90.00°
Atoms (fractional coordinates):
1 Ta 0.936 0.279 0.000
2 Ta 0.721 0.064 0.000
3 Co 0.459 0.137 0.000
4 Ta 0.826 0.826 0.253
5 Ta 0.674 0.326 0.753
6 Co 0.000 0.000 0.000
7 Ta 0.326 0.674 0.247
8 Co 0.400 0.400 0.000
9 Ta 0.674 0.326 0.247
10 Co 0.959 0.363 0.500
11 Co 0.041 0.637 0.500
12 Co 0.500 0.500 0.500
13 Ta 0.326 0.674 0.753
14 Co 0.637 0.041 0.500
15 Ta 0.436 0.221 0.500
16 Co 0.100 0.900 0.500
17 Ta 0.279 0.936 0.000
18 Ta 0.779 0.564 0.500
19 Co 0.541 0.863 0.000
20 Ta 0.064 0.721 0.000
21 Ta 0.564 0.779 0.500
22 Co 0.900 0.100 0.500
23 Co 0.137 0.459 0.000
24 Co 0.600 0.600 0.000
25 Ta 0.826 0.826 0.747
26 Ta 0.221 0.436 0.500
27 Ta 0.174 0.174 0.747
28 Ta 0.174 0.174 0.253
29 Co 0.363 0.959 0.500
30 Co 0.863 0.541 0.000

**Energy above the lowest structure with this stoichiometry**: 258.6 meV per atom
**DFT formation energy**: 217 meV per atom
**Magnetic moment**: 0.1 μB per cell


No. 3
# TaAlMo2

TaAlMo2 after structural relaxation (PBE-GGA, the Open Quantum Materials Database).

Cell: 4.509 4.509 4.509 Å, 60.00 60.00 60.00°
Atoms (fractional coordinates):
1 Al 0.750 0.750 0.750
2 Mo 0.250 0.250 0.250
3 Mo 0.000 0.000 0.000
4 Ta 0.500 0.500 0.500

**Magnetic moment**: 0.0 μB per cell
**Raw total energy**: -9.323 eV/atom


No. 4
# TaHg2Au

TaHg2Au after structural relaxation (PBE-GGA, the Open Quantum Materials Database).

Cell: 4.788 4.788 4.788 Å, 60.00 60.00 60.00°
Atoms (fractional coordinates):
1 Hg 0.000 0.000 0.000
2 Ta 0.750 0.750 0.750
3 Hg 0.250 0.250 0.250
4 Au 0.500 0.500 0.500

**DFT formation energy**: 502 meV per atom
**Magnetic moment**: 0.0 μB per cell


No. 5
# HfNbSi

HfNbSi after structural relaxation (PBE-GGA, the Open Quantum Materials Database).

Cell: 4.367 4.367 4.367 Å, 60.00 60.00 60.00°
Atoms (fractional coordinates):
1 Hf 0.250 0.250 0.250
2 Si 0.000 0.000 0.000
3 Nb 0.750 0.750 0.750

**Magnetic moment**: 0.0 μB per cell
**Raw total energy**: -8.710 eV/atom


No. 6
# PmTmHg2

PmTmHg2 after structural relaxation (PBE-GGA, the Open Quantum Materials Database).

Cell: 3.685 3.685 7.644 Å, 90.00 90.00 90.00°
Atoms (fractional coordinates):
1 Hg 0.500 0.500 0.231
2 Tm 0.000 0.000 0.000
3 Hg 0.500 0.500 0.769
4 Pm 0.000 0.000 0.500

**DFT formation energy**: -479 meV per atom
**Magnetic moment**: 0.4 μB per cell